Sc2CoF | PBE+U | optimized geometry

Summary:
Its raw total energy is -65.70 eV/cell. As for the total magnetic moment: 0.3967 μB/atom. The value obtained for the polymorph energy (0 for the lowest one) is 535 meV/atom.

Lattice parameters (Å, degrees): 2.9660 2.9660 24.7659 90.00 90.00 120.00
Space group R-3m (No. 166, hexagonal axes)
Asymmetric unit:
1 Sc 0.0000 0.0000 0.0946
2 Co 0.0000 0.0000 0.0000
3 F 0.0000 0.0000 0.5000